1.
# Y2NiS

An optimized crystal structure of Y2NiS (PBE, Alexandria via LeMat-Bulk).

DFT total energy in eV/atom: -6.757

```
data_Y2NiS
_chemical_formula_sum 'Y6 Ni3 S3'
_space_group_name_H-M_alt 'R 3 m'
_space_group_IT_number 160
_space_group_name_Hall 'R 3 -2"'
_cell_length_a 3.8593
_cell_length_b 3.8593
_cell_length_c 20.7019
_cell_angle_alpha 90.00
_cell_angle_beta 90.00
_cell_angle_gamma 120.00
loop_
_atom_site_label
_atom_site_type_symbol
_atom_site_fract_x
_atom_site_fract_y
_atom_site_fract_z
Y1 Y 0.0000 0.0000 0.0000
Y2 Y 0.0000 0.0000 0.1805
Ni1 Ni 0.0000 0.0000 0.5899
S1 S 0.0000 0.0000 0.4230
```

***

2.
# EuZrTl2

An optimized crystal structure of EuZrTl2 (PBE, Alexandria via LeMat-Bulk).

DFT total energy in eV/atom: -6.072

```
data_EuZrTl2
_chemical_formula_sum 'Eu1 Zr1 Tl2'
_space_group_name_H-M_alt 'P 4/m m m'
_space_group_IT_number 123
_space_group_name_Hall '-P 4 2'
_cell_length_a 3.383
_cell_length_b 3.383
_cell_length_c 9.125
_cell_angle_alpha 90.00
_cell_angle_beta 90.00
_cell_angle_gamma 90.00
loop_
_atom_site_label
_atom_site_type_symbol
_atom_site_fract_x
_atom_site_fract_y
_atom_site_fract_z
Eu1 Eu 0.000 0.000 0.000
Zr1 Zr 0.000 0.000 0.500
Tl1 Tl 0.500 0.500 0.267
```

***

3.
# KRb2RhF8

An optimized crystal structure of KRb2RhF8 (PBE, Alexandria via LeMat-Bulk).

DFT total energy in eV/atom: -4.170

```
data_KRb2RhF8
_chemical_formula_sum 'K2 Rb4 Rh2 F16'
_space_group_name_H-M_alt 'I -4 m 2'
_space_group_IT_number 119
_space_group_name_Hall 'I -4 -2'
_cell_length_a 6.110
_cell_length_b 6.110
_cell_length_c 11.432
_cell_angle_alpha 90.00
_cell_angle_beta 90.00
_cell_angle_gamma 90.00
loop_
_atom_site_label
_atom_site_type_symbol
_atom_site_fract_x
_atom_site_fract_y
_atom_site_fract_z
K1 K 0.000 0.000 0.000
Rb1 Rb 0.000 0.000 0.500
Rb2 Rb 0.000 0.500 0.750
Rh1 Rh 0.000 0.500 0.250
F1 F 0.192 0.305 0.147
```

***

4.
# LiCe4Tm3S8

An optimized crystal structure of LiCe4Tm3S8 (PBE, Alexandria via LeMat-Bulk).

DFT total energy in eV/atom: -6.452

```
data_LiCe4Tm3S8
_chemical_formula_sum 'Li3 Ce12 Tm9 S24'
_space_group_name_H-M_alt 'R -3 m'
_space_group_IT_number 166
_space_group_name_Hall '-R 3 2"'
_cell_length_a 7.8125
_cell_length_b 7.8125
_cell_length_c 19.5504
_cell_angle_alpha 90.00
_cell_angle_beta 90.00
_cell_angle_gamma 120.00
loop_
_atom_site_label
_atom_site_type_symbol
_atom_site_fract_x
_atom_site_fract_y
_atom_site_fract_z
Li1 Li 0.0000 0.0000 0.0000
Ce1 Ce 0.0000 0.0000 0.5000
Ce2 Ce 0.0000 0.5000 0.5000
Tm1 Tm 0.0000 0.5000 0.0000
S1 S 0.0000 0.0000 0.2558
S2 S 0.0031 0.5016 0.7432
```

***

5.
# BeRe3Ru

An optimized crystal structure of BeRe3Ru (PBE, Alexandria via LeMat-Bulk).

DFT total energy in eV/atom: -9.395

```
data_BeRe3Ru
_chemical_formula_sum 'Be1 Re3 Ru1'
_space_group_name_H-M_alt 'P m -3 m'
_space_group_IT_number 221
_space_group_name_Hall '-P 4 2 3'
_cell_length_a 4.110
_cell_length_b 4.110
_cell_length_c 4.110
_cell_angle_alpha 90.00
_cell_angle_beta 90.00
_cell_angle_gamma 90.00
loop_
_atom_site_label
_atom_site_type_symbol
_atom_site_fract_x
_atom_site_fract_y
_atom_site_fract_z
Be1 Be 0.000 0.000 0.000
Re1 Re 0.000 0.000 0.500
Ru1 Ru 0.500 0.500 0.500
```

***

6.
# In3Hg

An optimized crystal structure of In3Hg (PBE, Alexandria via LeMat-Bulk).

DFT total energy in eV/atom: -2.112

```
data_In3Hg
_chemical_formula_sum 'In3 Hg1'
_space_group_name_H-M_alt 'P 1 2/m 1'
_space_group_IT_number 10
_cell_length_a 3.287
_cell_length_b 5.669
_cell_length_c 5.780
_cell_angle_alpha 90.00
_cell_angle_beta 92.81
_cell_angle_gamma 90.00
loop_
_space_group_symop_operation_xyz
'x,y,z'
'-x,-y,-z'
'-x,y,-z'
'x,-y,z'
loop_
_atom_site_label
_atom_site_type_symbol
_atom_site_fract_x
_atom_site_fract_y
_atom_site_fract_z
In1 In 0.000 0.000 0.000
In2 In 0.268 0.500 0.749
Hg1 Hg 0.500 0.000 0.500
```